# 1
DFT (GGA-PBE) results for a relaxed HgRuNF2 crystal.

Properties
The value obtained for the magnetization is 4.59 μB per formula unit. As for the uncorrected formation energy: 844 meV/atom.

Cell and atoms, written as CIF:
```
data_HgRuNF2
_chemical_formula_sum 'Hg1 Ru1 N1 F2'
_symmetry_space_group_name_H-M 'P 4/m m m'
_symmetry_Int_Tables_number 123
_symmetry_space_group_name_Hall '-P 4 2'
_cell_length_a 4.5889
_cell_length_b 4.5889
_cell_length_c 4.1143
_cell_angle_alpha 90.00
_cell_angle_beta 90.00
_cell_angle_gamma 90.00
loop_
_atom_site_label
_atom_site_fract_x
_atom_site_fract_y
_atom_site_fract_z
_atom_site_occupancy
Hg1 0.0000 0.0000 0.0000 1
Ru1 0.5000 0.5000 0.5000 1
N1 0.0000 0.0000 0.5000 1
F1 0.0000 0.5000 0.0000 1
```

# 2
DFT (GGA-PBE) results for a relaxed HgSNF2 crystal.

Properties
The value obtained for the magnetization is 1.76 μB per formula unit. As for the uncorrected formation energy: 748 meV/atom.

Cell and atoms, written as CIF:
```
data_HgSNF2
_chemical_formula_sum 'Hg1 S1 N1 F2'
_symmetry_space_group_name_H-M 'P 4/m m m'
_symmetry_Int_Tables_number 123
_symmetry_space_group_name_Hall '-P 4 2'
_cell_length_a 4.4399
_cell_length_b 4.4399
_cell_length_c 4.4327
_cell_angle_alpha 90.00
_cell_angle_beta 90.00
_cell_angle_gamma 90.00
loop_
_atom_site_label
_atom_site_fract_x
_atom_site_fract_y
_atom_site_fract_z
_atom_site_occupancy
Hg1 0.0000 0.0000 0.0000 1
S1 0.5000 0.5000 0.5000 1
N1 0.0000 0.0000 0.5000 1
F1 0.0000 0.5000 0.0000 1
```

no.,VASP energy (eV per atom)
1,-3.49
2,-2.55